Model one:
This record from Alexandria via LeMat-Bulk describes a geometry-optimized Ce2Co5B2 structure. The functional is PBE.

POSCAR file:
```
Ce2Co5B2
1.0
3.8338 0.0000 0.0000
0.0000 3.8338 0.0000
0.0000 0.0000 8.0861
Ce Co B
2 5 2
Direct
0.0000 0.0000 0.0000 Ce
0.0000 0.0000 0.5000 Ce
0.0000 0.5000 0.2400 Co
0.0000 0.5000 0.7600 Co
0.5000 0.0000 0.2400 Co
0.5000 0.0000 0.7600 Co
0.5000 0.5000 0.0000 Co
0.5000 0.5000 0.2914 B
0.5000 0.5000 0.7086 B
```

For the magnetic moment, the calculation gives 0.0 μB per formula unit.

***

Model two:
This record from Alexandria via LeMat-Bulk describes a geometry-optimized Ce2Co5B2 structure. The functional is PBE.

POSCAR file:
```
Ce2Co5B2
1.0
5.0833 0.0000 0.0000
-2.5416 4.4022 0.0000
0.0000 0.0000 19.8686
Ce Co B
8 20 8
Direct
0.3333 0.6667 0.0189 Ce
0.3333 0.6667 0.1722 Ce
0.3333 0.6667 0.3278 Ce
0.3333 0.6667 0.4811 Ce
0.6667 0.3333 0.5189 Ce
0.6667 0.3333 0.6722 Ce
0.6667 0.3333 0.8278 Ce
0.6667 0.3333 0.9811 Ce
0.0000 0.0000 0.0000 Co
0.0000 0.0000 0.5000 Co
0.1631 0.3262 0.6056 Co
0.1631 0.3262 0.8944 Co
0.1631 0.8369 0.6056 Co
0.1631 0.8369 0.8944 Co
0.1673 0.3345 0.7500 Co
0.1673 0.8327 0.7500 Co
0.3262 0.1631 0.1056 Co
0.3262 0.1631 0.3944 Co
0.3345 0.1673 0.2500 Co
0.6655 0.8327 0.7500 Co
0.6738 0.8369 0.6056 Co
0.6738 0.8369 0.8944 Co
0.8327 0.1673 0.2500 Co
0.8327 0.6655 0.2500 Co
0.8369 0.1631 0.1056 Co
0.8369 0.1631 0.3944 Co
0.8369 0.6738 0.1056 Co
0.8369 0.6738 0.3944 Co
0.0000 0.0000 0.1771 B
0.0000 0.0000 0.3229 B
0.0000 0.0000 0.6771 B
0.0000 0.0000 0.8229 B
0.3333 0.6667 0.6749 B
0.3333 0.6667 0.8251 B
0.6667 0.3333 0.1749 B
0.6667 0.3333 0.3251 B
```

For the magnetic moment, the calculation gives 0.2 μB per formula unit.

***

Which structure above is the least stable? It is model one.